Compound: Ho6Tl2N
Source: the Alexandria database
Functional: PBE-GGA
Structure: relaxed

Unit cell a=6.832 b=6.832 c=6.832 alpha=60.00 beta=60.00 gamma=60.01
Element x y z (fractional)
Ho1 0.255 0.744 0.745
Ho2 0.744 0.255 0.745
Ho3 0.744 0.744 0.256
Ho4 0.745 0.256 0.255
Ho5 0.256 0.256 0.744
Ho6 0.256 0.745 0.255
Tl1 0.750 0.750 0.750
Tl2 0.250 0.250 0.250
N1 0.500 0.500 0.500

## Properties
total magnetic moment: 0.00 μB per formula unit
calculated volume: 225.5 Å³ per cell
E above lowest polymorph: 0 meV per atom
calculated total energy: -0.186 Ha/atom
E_form (uncorrected): -569 meV/atom